(1)
Computed, not measured: an optimized crystal structure of Na2MnPdO4 at the PBE with a Hubbard U level of DFT.

Cell and atoms, written as extended XYZ:
```
8
Lattice="5.733 0.000 0.000 0.000 3.012 0.000 -2.194 0.000 5.387" Properties=species:S:1:pos:R:3 pbc="T T T"
Na 0.000 0.000 0.000
Na 2.866 1.506 0.000
Mn -1.097 1.506 2.694
Pd 1.769 0.000 2.694
O -0.386 0.000 3.807
O 0.939 1.506 1.553
O 2.600 1.506 3.834
O 3.925 0.000 1.580
```

Calculated values
The total energy comes out at -45.0 eV per formula unit. Its symmetry is P2/m (10).

(2)
Computed, not measured: an optimized crystal structure of Na4Pm3MnO8 at the PBE with a Hubbard U level of DFT.

Cell and atoms, written as extended XYZ:
```
16
Lattice="5.933 -3.473 0.000 5.933 3.473 0.000 -3.996 0.000 5.616" Properties=species:S:1:pos:R:3 pbc="T T T"
Na 0.000 0.000 0.000
Na 0.969 1.737 2.808
Na 0.969 -1.737 2.808
Na 5.933 0.000 0.000
Pm -1.998 0.000 2.808
Pm 2.966 1.737 0.000
Pm 2.966 -1.737 0.000
Mn 3.935 0.000 2.808
O -0.191 0.000 4.296
O 4.797 1.716 1.474
O 3.073 1.716 4.143
O 2.370 0.000 1.564
O 5.500 0.000 4.052
O 4.797 -1.716 1.474
O 3.073 -1.716 4.143
O 8.061 0.000 1.320
```

Calculated values
The total energy comes out at -103.9 eV per formula unit. Its symmetry is C2/m (12).

(3)
Computed, not measured: an optimized crystal structure of NaPmMnO3 at the PBE with a Hubbard U level of DFT.

Cell and atoms, written as extended XYZ:
```
12
Lattice="1.839 -6.542 0.000 1.839 6.542 0.000 0.000 0.000 9.354" Properties=species:S:1:pos:R:3 pbc="T T T"
Na 1.839 4.589 7.015
Na 1.839 -4.589 2.338
Pm 1.839 0.000 0.000
Pm 1.839 0.000 4.677
Mn 1.839 5.300 2.338
Mn 1.839 -5.300 7.015
O 1.839 5.099 0.399
O 1.839 5.099 4.278
O 1.839 0.293 2.338
O 1.839 -0.293 7.015
O 1.839 -5.099 5.076
O 1.839 -5.099 8.955
```

Calculated values
The total energy comes out at -40.9 eV per formula unit. Its symmetry is Cmcm (63).

(4)
Computed, not measured: an optimized crystal structure of Na3Pm3MnO8 at the PBE with a Hubbard U level of DFT.

Cell and atoms, written as extended XYZ:
```
15
Lattice="3.433 1.982 5.551 -3.433 1.982 5.551 0.000 -3.964 5.551" Properties=species:S:1:pos:R:3 pbc="T T T"
Na -1.717 -0.991 5.551
Na -1.717 0.991 11.102
Na 0.000 1.982 5.551
Pm -3.433 0.000 8.327
Pm -1.717 0.991 2.776
Pm 1.717 0.991 2.776
Mn 0.000 0.000 8.327
O 0.000 0.000 3.983
O -1.481 -0.855 9.414
O 0.000 -1.710 7.240
O -1.481 0.855 7.240
O 1.481 -0.855 9.414
O 0.000 1.710 9.414
O 1.481 0.855 7.240
O 0.000 0.000 12.671
```

Calculated values
The total energy comes out at -101.0 eV per formula unit. Its symmetry is R-3m (166).

(5)
Computed, not measured: an optimized crystal structure of NaPr2MnO5 at the PBE with a Hubbard U level of DFT.

Cell and atoms, written as extended XYZ:
```
18
Lattice="6.801 0.000 0.000 0.000 6.801 0.000 0.000 0.000 5.820" Properties=species:S:1:pos:R:3 pbc="T T T"
Na 0.000 0.000 0.000
Na 3.401 3.401 0.000
Pr 1.212 2.188 2.910
Pr 2.188 5.589 2.910
Pr 4.613 1.212 2.910
Pr 5.589 4.613 2.910
Mn 0.000 3.401 0.000
Mn 3.401 0.000 0.000
O 0.000 0.000 2.910
O 0.914 4.314 1.389
O 0.914 4.314 4.431
O 2.487 0.914 1.389
O 2.487 0.914 4.431
O 3.401 3.401 2.910
O 4.314 5.888 1.389
O 4.314 5.888 4.431
O 5.888 2.487 1.389
O 5.888 2.487 4.431
```

Calculated values
The total energy comes out at -65.3 eV per formula unit. Its symmetry is P4/mbm (127).

(6)
Computed, not measured: an optimized crystal structure of Na2PrMnO4 at the PBE with a Hubbard U level of DFT.

Cell and atoms, written as extended XYZ:
```
16
Lattice="1.725 -5.798 0.000 1.725 5.798 0.000 0.000 0.000 11.250" Properties=species:S:1:pos:R:3 pbc="T T T"
Na 1.725 4.362 6.033
Na 1.725 4.362 10.842
Na 1.725 -4.362 0.408
Na 1.725 -4.362 5.217
Pr 1.725 1.119 8.437
Pr 1.725 -1.119 2.812
Mn 1.725 1.952 2.812
Mn 1.725 -1.952 8.437
O 1.725 5.041 8.437
O 1.725 3.368 1.562
O 1.725 3.368 4.062
O 1.725 0.000 0.000
O 1.725 0.000 5.625
O 1.725 -3.368 7.187
O 1.725 -3.368 9.687
O 1.725 -5.041 2.812
```

Calculated values
The total energy comes out at -49.2 eV per formula unit. Its symmetry is Cmcm (63).

(7)
Computed, not measured: an optimized crystal structure of Na4Pr3MnO8 at the PBE with a Hubbard U level of DFT.

Cell and atoms, written as extended XYZ:
```
16
Lattice="6.181 -3.447 0.000 6.181 3.447 0.000 -3.696 0.000 5.743" Properties=species:S:1:pos:R:3 pbc="T T T"
Na 0.000 0.000 0.000
Na 1.242 1.723 2.871
Na 1.242 -1.723 2.871
Na 6.181 0.000 0.000
Pr -1.848 0.000 2.871
Pr 3.090 1.723 0.000
Pr 3.090 -1.723 0.000
Mn 4.333 0.000 2.871
O 1.974 0.000 1.185
O 0.106 0.000 4.249
O 4.943 1.443 1.616
O 3.722 1.443 4.127
O 4.943 -1.443 1.616
O 3.722 -1.443 4.127
O 8.559 0.000 1.494
O 6.692 0.000 4.557
```

Calculated values
The total energy comes out at -103.1 eV per formula unit. Its symmetry is C2/m (12).

(8)
Computed, not measured: an optimized crystal structure of Na3Pr2MnO6 at the PBE with a Hubbard U level of DFT.

Cell and atoms, written as extended XYZ:
```
12
Lattice="3.024 -5.169 0.000 3.024 5.169 0.000 -1.947 0.000 5.673" Properties=species:S:1:pos:R:3 pbc="T T T"
Na 0.000 0.000 0.000
Na 3.024 1.428 0.000
Na 3.024 -1.428 0.000
Pr 2.050 3.466 2.836
Pr 2.050 -3.466 2.836
Mn 2.050 0.000 2.836
O 1.191 1.472 1.722
O -0.036 0.000 4.169
O 1.191 -1.472 1.722
O 2.910 1.472 3.951
O 4.137 0.000 1.504
O 2.910 -1.472 3.951
```

Calculated values
The total energy comes out at -77.1 eV per formula unit. Its symmetry is C2/m (12).

(9)
Computed, not measured: an optimized crystal structure of NaPr3Mn4O12 at the PBE with a Hubbard U level of DFT.

Cell and atoms, written as extended XYZ:
```
20
Lattice="5.506 0.000 0.000 0.000 7.731 0.000 -0.035 0.000 5.519" Properties=species:S:1:pos:R:3 pbc="T T T"
Na 0.000 0.000 0.000
Pr 2.657 0.000 2.676
Pr 2.722 3.866 3.051
Pr 5.429 3.866 0.317
Mn 2.718 1.891 0.110
Mn 2.718 5.840 0.110
Mn 5.460 1.891 2.901
Mn 5.460 5.840 2.901
O 0.310 3.866 2.812
O 1.203 1.672 1.356
O 1.203 6.059 1.356
O 1.562 1.718 4.026
O 1.562 6.013 4.026
O 2.325 3.866 0.079
O 3.125 0.000 0.215
O 3.934 2.240 1.661
O 3.934 5.491 1.661
O 4.196 2.305 4.396
O 4.196 5.426 4.396
O 5.046 0.000 3.000
```

Calculated values
The total energy comes out at -150.0 eV per formula unit. Its symmetry is Pm (6).

(10)
Computed, not measured: an optimized crystal structure of NaPr2Ti2MnO9 at the PBE with a Hubbard U level of DFT.

Cell and atoms, written as extended XYZ:
```
60
Lattice="5.540 0.000 0.000 0.239 5.622 0.000 0.101 0.173 23.187" Properties=species:S:1:pos:R:3 pbc="T T T"
Na 0.000 0.000 0.000
Na 0.076 0.120 15.420
Na 2.946 2.607 11.572
Na 5.799 5.668 7.745
Pr 0.354 5.311 11.574
Pr 0.430 5.364 19.323
Pr 0.377 5.268 3.897
Pr 2.966 2.564 19.305
Pr 2.907 2.462 3.875
Pr 2.988 3.002 7.748
Pr 3.041 3.052 15.424
Pr 3.080 3.104 23.176
Ti 0.179 2.686 5.899
Ti 0.247 2.783 21.338
Ti 0.309 2.755 13.532
Ti 2.992 5.528 9.659
Ti 3.141 5.619 17.285
Ti 3.081 5.510 1.840
Ti 3.185 5.703 13.507
Ti 5.607 2.655 9.699
Mn 0.218 2.760 17.355
Mn 0.160 2.657 1.931
Mn 3.162 5.645 21.269
Mn 3.111 5.548 5.841
O 0.622 2.643 15.436
O 0.588 2.537 0.006
O 0.628 2.623 7.755
O 1.270 1.091 13.202
O 1.350 1.217 17.783
O 1.296 1.122 2.352
O 1.342 1.165 10.008
O 1.392 1.225 20.870
O 1.335 1.125 5.440
O 1.735 3.918 13.251
O 1.795 3.941 20.916
O 1.749 3.839 5.496
O 1.830 4.053 9.947
O 1.938 4.096 17.730
O 1.873 4.003 2.311
O 2.682 5.492 15.435
O 2.717 5.554 23.186
O 2.704 5.476 7.756
O 3.516 5.633 11.596
O 3.599 5.719 19.343
O 3.546 5.623 3.912
O 3.940 1.597 17.116
O 3.888 1.487 1.676
O 4.053 1.526 13.807
O 4.161 1.791 21.491
O 4.104 1.691 6.068
O 4.139 1.555 9.381
O 4.531 4.302 13.788
O 4.611 4.377 17.059
O 4.548 4.260 1.629
O 4.588 4.294 9.387
O 4.658 4.433 21.559
O 4.607 4.327 6.119
O 5.361 2.921 19.279
O 5.304 2.818 3.850
O 5.373 2.851 11.591
```

Calculated values
The total energy comes out at -121.1 eV per formula unit. Its symmetry is P1 (1).

(11)
Computed, not measured: an optimized crystal structure of NaMnPtO4 at the PBE with a Hubbard U level of DFT.

Cell and atoms, written as extended XYZ:
```
14
Lattice="-2.983 3.189 4.459 2.983 -3.189 4.459 2.983 3.189 -4.459" Properties=species:S:1:pos:R:3 pbc="T T T"
Na 0.000 1.594 1.247
Na 2.983 1.594 3.212
Mn 1.491 1.594 -2.229
Mn 1.491 -1.594 2.229
Pt 2.983 0.000 0.000
Pt 0.000 0.000 4.459
O 2.983 -0.289 2.048
O 2.983 2.900 -2.048
O 1.683 1.594 -0.191
O 4.283 1.594 -0.191
O -1.300 1.594 4.650
O 1.300 1.594 4.650
O 0.000 0.289 6.507
O 0.000 3.478 2.410
```

Calculated values
The total energy comes out at -42.0 eV per formula unit. Its symmetry is Imma (74).

(12)
Computed, not measured: an optimized crystal structure of Na2PuMn2O6 at the PBE with a Hubbard U level of DFT.

Cell and atoms, written as extended XYZ:
```
11
Lattice="2.664 -4.698 0.000 2.664 4.698 0.000 -1.975 0.000 5.622" Properties=species:S:1:pos:R:3 pbc="T T T"
Na 2.664 3.077 0.000
Na 2.664 -3.077 0.000
Pu -0.988 0.000 2.811
Mn 1.676 1.555 2.811
Mn 1.676 -1.555 2.811
O -0.093 1.721 3.883
O 0.892 0.000 1.706
O -0.093 -1.721 3.883
O 3.445 1.721 1.739
O 2.460 0.000 3.916
O 3.445 -1.721 1.739
```

Calculated values
The total energy comes out at -81.0 eV per formula unit. Its symmetry is C2/m (12).